(1)
DFT (PBE) results for a relaxed structure of HfNbTl2.

abc: 5.565 5.948 6.145
angles: 101.35 90.50 117.40
Fractional coordinates of all 8 atoms:
Tl  0.132  0.059  0.386
Tl  0.994  0.498  0.518
Tl  0.068  0.047  0.889
Tl  0.559  0.598  0.261
Nb  0.522  0.516  0.764
Nb  0.600  0.084  0.130
Hf  0.556  0.007  0.661
Hf  0.058  0.574  0.015

Computed properties:
ΔH_f (0 K)   0.257 eV per atom
SG   P1 (1)
Calculated density   12.843 Mg/m³
Distance to the lowest polymorph of the same formula   0.263 eV per formula unit

(2)
DFT (PBE) results for a relaxed structure of HfNbTl2.

abc: 7.454 6.200 7.493
angles: 90.00 90.00 90.00
Fractional coordinates of all 16 atoms:
Nb  0.205  0.500  0.250
Nb  0.295  0.500  0.750
Nb  0.795  0.000  0.250
Nb  0.705  0.000  0.750
Hf  0.500  0.250  0.454
Hf  0.000  0.750  0.954
Hf  0.500  0.750  0.046
Hf  0.000  0.250  0.546
Tl  0.697  0.500  0.750
Tl  0.500  0.250  0.050
Tl  0.000  0.750  0.550
Tl  0.197  0.000  0.250
Tl  0.500  0.750  0.450
Tl  0.000  0.250  0.950
Tl  0.303  0.000  0.750
Tl  0.803  0.500  0.250

Computed properties:
ΔH_f (0 K)   0.210 eV per atom
SG   I2_12_12_1 (24)
Calculated density   13.047 Mg/m³
Distance to the lowest polymorph of the same formula   0.072 eV per formula unit

(3)
DFT (PBE) results for a relaxed structure of HfNbTl2.

abc: 5.978 6.038 6.316
angles: 105.32 105.07 116.63
Fractional coordinates of all 8 atoms:
Tl  0.416  0.996  0.158
Tl  0.840  0.877  0.483
Tl  0.825  0.898  0.986
Tl  0.298  0.412  0.486
Nb  0.887  0.473  0.669
Nb  0.889  0.464  0.109
Hf  0.430  0.994  0.655
Hf  0.309  0.397  0.972

Computed properties:
ΔH_f (0 K)   0.232 eV per atom
SG   P1 (1)
Calculated density   12.790 Mg/m³
Distance to the lowest polymorph of the same formula   0.162 eV per formula unit

(4)
DFT (PBE) results for a relaxed structure of HfNbTl2.

abc: 6.289 7.492 7.455
angles: 90.00 90.00 90.00
Fractional coordinates of all 16 atoms:
Tl  0.000  0.000  0.954
Tl  0.750  0.704  0.161
Tl  0.000  0.500  0.454
Tl  0.250  0.296  0.161
Tl  0.750  0.796  0.661
Tl  0.500  0.500  0.454
Tl  0.250  0.204  0.661
Tl  0.500  0.000  0.954
Hf  0.250  0.782  0.654
Hf  0.250  0.718  0.154
Hf  0.750  0.282  0.154
Hf  0.750  0.218  0.654
Nb  0.500  0.500  0.867
Nb  0.500  0.000  0.367
Nb  0.000  0.500  0.867
Nb  0.000  0.000  0.367

Computed properties:
ΔH_f (0 K)   0.248 eV per atom
SG   Ima2 (46)
Calculated density   12.861 Mg/m³
Distance to the lowest polymorph of the same formula   0.223 eV per formula unit

(5)
DFT (PBE) results for a relaxed structure of Hf2Nb2Tl.

abc: 7.472 7.472 3.862
angles: 90.00 90.00 90.00
Fractional coordinates of all 10 atoms:
Hf  0.671  0.829  0.500
Hf  0.171  0.671  0.500
Hf  0.829  0.329  0.500
Hf  0.329  0.171  0.500
Nb  0.376  0.876  0.000
Nb  0.624  0.124  0.000
Nb  0.876  0.624  0.000
Nb  0.124  0.376  0.000
Tl  0.500  0.500  0.000
Tl  0.000  0.000  0.000

Computed properties:
ΔH_f (0 K)   0.218 eV per atom
SG   P4/mbm (127)
Calculated density   11.509 Mg/m³
Distance to the lowest polymorph of the same formula   0.000 eV per formula unit

(6)
DFT (PBE) results for a relaxed structure of Hf5NbTl2.

abc: 5.074 5.074 7.677
angles: 109.30 109.30 90.00
Fractional coordinates of all 8 atoms:
Hf  0.118  0.618  0.236
Hf  0.500  0.500  0.000
Hf  0.882  0.382  0.764
Hf  0.618  0.118  0.236
Hf  0.382  0.882  0.764
Tl  0.750  0.750  0.500
Tl  0.250  0.250  0.500
Nb  0.000  0.000  0.000

Computed properties:
ΔH_f (0 K)   0.043 eV per atom
SG   I4/mmm (139)
Calculated density   13.249 Mg/m³

(7)
DFT (PBE) results for a relaxed structure of HfNbTl2.

abc: 10.090 3.560 10.866
angles: 90.00 110.91 90.00
Fractional coordinates of all 16 atoms:
Tl  0.161  0.000  0.274
Tl  0.000  0.500  0.000
Tl  0.500  0.000  0.500
Tl  0.161  0.500  0.774
Tl  0.000  0.000  0.500
Tl  0.839  0.000  0.726
Tl  0.500  0.500  0.000
Tl  0.839  0.500  0.226
Nb  0.400  0.500  0.251
Nb  0.600  0.500  0.749
Nb  0.400  0.000  0.751
Nb  0.600  0.000  0.249
Hf  0.739  0.500  0.474
Hf  0.261  0.000  0.026
Hf  0.261  0.500  0.526
Hf  0.739  0.000  0.974

Computed properties:
ΔH_f (0 K)   0.192 eV per atom
SG   C2/m (12)
Calculated density   12.391 Mg/m³
Distance to the lowest polymorph of the same formula   0.000 eV per formula unit

(8)
DFT (PBE) results for a relaxed structure of HfNbTl2.

abc: 7.861 7.861 6.329
angles: 51.61 51.61 90.00
Fractional coordinates of all 8 atoms:
Tl  0.375  0.381  0.750
Tl  0.619  0.125  0.250
Tl  0.875  0.869  0.750
Tl  0.131  0.625  0.250
Nb  0.250  0.750  0.500
Nb  0.500  0.500  0.000
Hf  0.750  0.250  0.500
Hf  0.000  0.000  0.000

Computed properties:
ΔH_f (0 K)   0.544 eV per atom
SG   I-42d (122)
Calculated density   12.075 Mg/m³
Distance to the lowest polymorph of the same formula   1.408 eV per formula unit

(9)
DFT (PBE) results for a relaxed structure of HfNbTl2Zn.

abc: 4.928 4.979 4.928
angles: 90.00 90.00 90.00
Fractional coordinates of all 5 atoms:
Tl  0.000  0.000  0.500
Tl  0.500  0.000  0.000
Nb  0.000  0.500  0.000
Zn  0.000  0.000  0.000
Hf  0.500  0.500  0.500

Computed properties:
ΔH_f (0 K)   1.021 eV per atom
SG   P4/mmm (123)
Calculated density   10.239 Mg/m³

(10)
DFT (PBE) results for a relaxed structure of HfZrNb2Tl.

abc: 4.859 5.414 4.859
angles: 90.00 90.00 90.00
Fractional coordinates of all 5 atoms:
Tl  0.000  0.500  0.000
Hf  0.500  0.500  0.500
Zr  0.000  0.000  0.000
Nb  0.500  0.000  0.000
Nb  0.000  0.000  0.500

Computed properties:
ΔH_f (0 K)   1.440 eV per atom
SG   P4/mmm (123)
Calculated density   8.573 Mg/m³

(11)
DFT (PBE) results for a relaxed structure of HfZrNbTl.

abc: 4.934 4.934 4.934
angles: 60.00 60.00 60.00
Fractional coordinates of all 4 atoms:
Hf  0.750  0.750  0.750
Tl  0.500  0.500  0.500
Nb  0.000  0.000  0.000
Zr  0.250  0.250  0.250

Computed properties:
ΔH_f (0 K)   0.086 eV per atom
SG   F-43m (216)
Calculated density   11.084 Mg/m³

(12)
DFT (PBE) results for a relaxed structure of HfUNb2.

abc: 3.049 5.169 5.169
angles: 90.00 90.00 90.00
Last column: magnetic moment on the atom in μB.
Fractional coordinates of all 4 atoms:
Hf  0.500  0.000  0.000  0.01
Nb  0.000  0.500  0.000  0.00
Nb  0.000  0.000  0.500  0.00
U  0.500  0.500  0.500  0.97

Computed properties:
ΔH_f (0 K)   0.223 eV per atom
SG   P4/mmm (123)
Calculated density   12.277 Mg/m³
Distance to the lowest polymorph of the same formula   0.396 eV per formula unit

(13)
DFT (PBE) results for a relaxed structure of HfUNb2.

abc: 3.403 3.403 6.894
angles: 90.00 90.00 90.00
Fractional coordinates of all 4 atoms:
U  0.500  0.500  0.000
Nb  0.000  0.000  0.227
Nb  0.000  0.000  0.773
Hf  0.500  0.500  0.500

Computed properties:
ΔH_f (0 K)   0.124 eV per atom
SG   P4/mmm (123)
Calculated density   12.526 Mg/m³
Distance to the lowest polymorph of the same formula   0.000 eV per formula unit

(14)
DFT (PBE) results for a relaxed structure of HfUNb2.

abc: 4.837 4.837 4.837
angles: 60.00 60.00 60.00
Fractional coordinates of all 4 atoms:
U  0.000  0.000  0.000
Nb  0.250  0.250  0.250
Nb  0.750  0.750  0.750
Hf  0.500  0.500  0.500

Computed properties:
ΔH_f (0 K)   0.143 eV per atom
SG   Fm-3m (225)
Calculated density   12.499 Mg/m³
Distance to the lowest polymorph of the same formula   0.076 eV per formula unit

(15)
DFT (PBE) results for a relaxed structure of HfU2Nb.

abc: 2.964 2.964 11.324
angles: 82.48 82.48 60.00
Last column: magnetic moment on the atom in μB.
Fractional coordinates of all 4 atoms:
Nb  0.000  0.000  0.000  0.01
Hf  0.500  0.500  0.500  0.00
U  0.749  0.749  0.753  1.31
U  0.251  0.251  0.247  1.31

Computed properties:
ΔH_f (0 K)   0.359 eV per atom
SG   R-3m (166)
Calculated density   14.570 Mg/m³

(16)
DFT (PBE) results for a relaxed structure of Hf2Nb2V15.

abc: 6.653 6.653 6.653
angles: 85.10 85.10 85.10
Fractional coordinates of all 19 atoms:
V  0.358  0.358  0.838
V  0.162  0.642  0.642
V  0.838  0.358  0.358
V  0.500  0.000  0.000
V  0.308  0.000  0.692
V  0.642  0.642  0.162
V  0.000  0.500  0.000
V  0.000  0.692  0.308
V  0.358  0.838  0.358
V  0.692  0.308  0.000
V  0.000  0.000  0.500
V  0.308  0.692  0.000
V  0.642  0.162  0.642
V  0.692  0.000  0.308
V  0.000  0.308  0.692
Nb  0.103  0.103  0.103
Nb  0.897  0.897  0.897
Hf  0.661  0.661  0.661
Hf  0.339  0.339  0.339

Computed properties:
ΔH_f (0 K)   0.105 eV per atom
SG   R-3m (166)
Calculated density   7.445 Mg/m³

(17)
DFT (PBE) results for a relaxed structure of HfNbV4.

abc: 5.114 5.114 5.114
angles: 60.00 60.00 60.00
Fractional coordinates of all 6 atoms:
Nb  0.250  0.250  0.250
V  0.625  0.124  0.625
V  0.124  0.625  0.625
V  0.625  0.625  0.124
V  0.625  0.625  0.625
Hf  0.000  0.000  0.000

Computed properties:
ΔH_f (0 K)   -0.021 eV per atom
SG   F-43m (216)
Calculated density   8.342 Mg/m³

(18)
DFT (PBE) results for a relaxed structure of Hf2NbV2.

abc: 6.894 6.894 3.889
angles: 90.00 90.00 90.00
Fractional coordinates of all 10 atoms:
Hf  0.333  0.167  0.500
Hf  0.167  0.667  0.500
Hf  0.667  0.833  0.500
Hf  0.833  0.333  0.500
V  0.866  0.634  0.000
V  0.134  0.366  0.000
V  0.366  0.866  0.000
V  0.634  0.134  0.000
Nb  0.000  0.000  0.000
Nb  0.500  0.500  0.000

Computed properties:
ΔH_f (0 K)   0.235 eV per atom
SG   P4/mbm (127)
Calculated density   9.912 Mg/m³

(19)
DFT (PBE) results for a relaxed structure of HfNb4V2.

abc: 3.439 3.205 11.398
angles: 90.00 98.68 90.00
Fractional coordinates of all 7 atoms:
V  0.213  0.500  0.427
V  0.787  0.500  0.573
Nb  0.081  0.500  0.162
Nb  0.656  0.000  0.312
Nb  0.919  0.500  0.838
Nb  0.344  0.000  0.688
Hf  0.500  0.000  0.000

Computed properties:
ΔH_f (0 K)   0.165 eV per atom
SG   Cmmm (65)
Calculated density   8.717 Mg/m³

(20)
DFT (PBE) results for a relaxed structure of HfNb2V9.

abc: 5.194 5.194 8.469
angles: 72.14 72.14 60.00
Fractional coordinates of all 12 atoms:
V  0.920  0.416  0.249
V  0.584  0.080  0.751
V  0.584  0.584  0.751
V  0.500  0.500  0.500
V  0.667  0.667  0.999
V  0.416  0.416  0.249
V  0.416  0.920  0.249
V  0.080  0.584  0.751
V  0.333  0.333  0.001
Nb  0.145  0.145  0.565
Nb  0.855  0.855  0.435
Hf  0.000  0.000  0.000

Computed properties:
ΔH_f (0 K)   0.061 eV per atom
SG   R-3m (166)
Calculated density   7.385 Mg/m³

(21)
DFT (PBE) results for a relaxed structure of Hf2Nb2V.

abc: 6.460 6.460 4.774
angles: 90.00 90.00 90.00
Fractional coordinates of all 10 atoms:
V  0.500  0.500  0.000
V  0.000  0.000  0.000
Nb  0.653  0.153  0.000
Nb  0.847  0.653  0.000
Nb  0.347  0.847  0.000
Nb  0.153  0.347  0.000
Hf  0.665  0.835  0.500
Hf  0.835  0.335  0.500
Hf  0.335  0.165  0.500
Hf  0.165  0.665  0.500

Computed properties:
ΔH_f (0 K)   0.270 eV per atom
SG   P4/mbm (127)
Calculated density   9.898 Mg/m³

(22)
DFT (PBE) results for a relaxed structure of HfNbVW.

abc: 4.600 4.600 4.600
angles: 60.00 60.00 60.00
Fractional coordinates of all 4 atoms:
V  0.250  0.250  0.250
Nb  0.750  0.750  0.750
Hf  0.500  0.500  0.500
W  0.000  0.000  0.000

Computed properties:
ΔH_f (0 K)   0.091 eV per atom
SG   F-43m (216)
Calculated density   12.214 Mg/m³

(23)
DFT (PBE) results for a relaxed structure of HfNb2VZn.

abc: 4.711 4.791 4.711
angles: 90.00 90.00 90.00
Fractional coordinates of all 5 atoms:
Zn  0.000  0.000  0.000
Hf  0.000  0.500  0.000
Nb  0.000  0.000  0.500
Nb  0.500  0.000  0.000
V  0.500  0.500  0.500

Computed properties:
ΔH_f (0 K)   1.322 eV per atom
SG   P4/mmm (123)
Calculated density   7.505 Mg/m³

(24)
DFT (PBE) results for a relaxed structure of HfNbVZn.

abc: 4.589 4.589 4.589
angles: 60.00 60.00 60.00
Last column: magnetic moment on the atom in μB.
Fractional coordinates of all 4 atoms:
Zn  0.250  0.250  0.250  0.00
Nb  0.500  0.500  0.500  -0.15
V  0.750  0.750  0.750  0.99
Hf  0.000  0.000  0.000  0.11

Computed properties:
ΔH_f (0 K)   0.058 eV per atom
SG   F-43m (216)
Calculated density   9.422 Mg/m³